[1]
# TbHoHfMg (GGA-PBE, optimized geometry)
data_TbHoHfMg
_chemical_formula_sum 'Tb4 Ho4 Hf4 Mg4'
_space_group_name_H-M_alt 'F -4 3 m'
_space_group_IT_number 216
_space_group_name_Hall 'F -4 2 3'
_cell_length_a 7.505
_cell_length_b 7.505
_cell_length_c 7.505
_cell_angle_alpha 90.00
_cell_angle_beta 90.00
_cell_angle_gamma 90.00
loop_
_atom_site_label
_atom_site_fract_x
_atom_site_fract_y
_atom_site_fract_z
_atom_site_occupancy
Tb1 0.000 0.000 0.000 1
Ho1 0.000 0.000 0.500 1
Hf1 0.250 0.250 0.750 1
Mg1 0.250 0.250 0.250 1
# total DFT energy (no corrections): -80.1 eV/cell
# total magnetic moment: 5.49 μB per cell
# calculated formation energy: 184 meV/atom

=====

[2]
# TiTePdI2 (GGA-PBE, optimized geometry)
data_TiTePdI2
_chemical_formula_sum 'Ti1 Te1 Pd1 I2'
_space_group_name_H-M_alt 'P 4/m m m'
_space_group_IT_number 123
_space_group_name_Hall '-P 4 2'
_cell_length_a 5.354
_cell_length_b 5.354
_cell_length_c 5.448
_cell_angle_alpha 90.00
_cell_angle_beta 90.00
_cell_angle_gamma 90.00
loop_
_atom_site_label
_atom_site_fract_x
_atom_site_fract_y
_atom_site_fract_z
_atom_site_occupancy
Ti1 0.000 0.000 0.000 1
Te1 0.500 0.500 0.000 1
Pd1 0.500 0.500 0.500 1
I1 0.000 0.500 0.500 1
# distance to the lowest polymorph of the same formula: 1.54 eV/f.u.
# total DFT energy (no corrections): -16.8 eV/cell
# total magnetic moment: 0.14 μB per cell

=====

[3]
# Re3PtS (GGA-PBE, optimized geometry)
data_Re3PtS
_chemical_formula_sum 'Re3 Pt1 S1'
_space_group_name_H-M_alt 'P m -3 m'
_space_group_IT_number 221
_space_group_name_Hall '-P 4 2 3'
_cell_length_a 4.322
_cell_length_b 4.322
_cell_length_c 4.322
_cell_angle_alpha 90.00
_cell_angle_beta 90.00
_cell_angle_gamma 90.00
loop_
_atom_site_label
_atom_site_fract_x
_atom_site_fract_y
_atom_site_fract_z
_atom_site_occupancy
Re1 0.000 0.000 0.500 1
Pt1 0.500 0.500 0.500 1
S1 0.000 0.000 0.000 1
# distance to the lowest polymorph of the same formula: 0.00 eV/f.u.
# total DFT energy (no corrections): -43.0 eV/cell
# total magnetic moment: 0.00 μB per cell

=====

[4]
# PmPrCuSe4 (GGA-PBE, optimized geometry)
data_PmPrCuSe4
_chemical_formula_sum 'Pm2 Pr2 Cu2 Se8'
_space_group_name_H-M_alt 'P 1 21/m 1'
_space_group_IT_number 11
_space_group_name_Hall '-P 2yb'
_cell_length_a 7.172
_cell_length_b 5.888
_cell_length_c 8.367
_cell_angle_alpha 90.00
_cell_angle_beta 106.93
_cell_angle_gamma 90.00
loop_
_atom_site_label
_atom_site_fract_x
_atom_site_fract_y
_atom_site_fract_z
_atom_site_occupancy
Pm1 0.230 0.250 0.433 1
Pr1 0.240 0.250 0.933 1
Cu1 0.238 0.750 0.685 1
Se1 0.074 0.750 0.895 1
Se2 0.075 0.750 0.391 1
Se3 0.487 0.509 0.250 1
# total DFT energy (no corrections): -74.5 eV/cell
# total magnetic moment: 0.00 μB per cell

=====

[5]
# MgMnAg (GGA-PBE, optimized geometry)
data_MgMnAg
_chemical_formula_sum 'Mg2 Mn2 Ag2'
_space_group_name_H-M_alt 'I 4 m m'
_space_group_IT_number 107
_space_group_name_Hall 'I 4 -2'
_cell_length_a 3.024
_cell_length_b 3.024
_cell_length_c 11.668
_cell_angle_alpha 90.00
_cell_angle_beta 90.00
_cell_angle_gamma 90.00
loop_
_atom_site_label
_atom_site_fract_x
_atom_site_fract_y
_atom_site_fract_z
_atom_site_occupancy
Mg1 0.000 0.000 0.000 1
Mn1 0.000 0.000 0.327 1
Ag1 0.000 0.000 0.669 1
# total DFT energy (no corrections): -26.2 eV/cell
# total magnetic moment: 7.84 μB per cell
# calculated formation energy: 165 meV/atom

=====

[6]
# LiDyMgSn (GGA-PBE, optimized geometry)
data_LiDyMgSn
_chemical_formula_sum 'Li4 Dy4 Mg4 Sn4'
_space_group_name_H-M_alt 'F -4 3 m'
_space_group_IT_number 216
_space_group_name_Hall 'F -4 2 3'
_cell_length_a 7.214
_cell_length_b 7.214
_cell_length_c 7.214
_cell_angle_alpha 90.00
_cell_angle_beta 90.00
_cell_angle_gamma 90.00
loop_
_atom_site_label
_atom_site_fract_x
_atom_site_fract_y
_atom_site_fract_z
_atom_site_occupancy
Li1 0.000 0.000 0.000 1
Dy1 0.000 0.000 0.500 1
Mg1 0.250 0.250 0.250 1
Sn1 0.250 0.250 0.750 1
# total DFT energy (no corrections): -53.9 eV/cell
# total magnetic moment: 0.00 μB per cell
# calculated formation energy: -342 meV/atom

=====

> Among the records above, which one has the highest total DFT energy (no corrections)?

TiTePdI2